(1)
The following is a PBE calculation of an optimized crystal structure of CaAcTeAs, from the Alexandria database.

Unit cell a=4.552 b=4.552 c=7.868 alpha=73.19 beta=73.19 gamma=60.00
Positions (direct):
Ca: 0.507 0.507 0.478
Ac: 0.990 0.990 0.031
Te: 0.755 0.755 0.736
As: 0.248 0.248 0.255

The uncorrected formation energy is -6.10 eV per formula unit. The total moment comes out at 0.0 μB/f.u. The calculation puts the electronic total energy at -5.00 eV/atom. The calculated density comes out at 5.86 g/cm³.



(2)
The following is a PBE calculation of an optimized crystal structure of BaPmMgZn, from the Alexandria database.

Unit cell a=5.627 b=5.627 c=5.627 alpha=60.00 beta=60.00 gamma=60.00
Positions (direct):
Mg: 0.000 0.000 0.000
Zn: 0.500 0.500 0.500
Ba: 0.750 0.750 0.750
Pm: 0.250 0.250 0.250

The formation energy comes out at -21 meV per atom. As for the density of states at the Fermi level: 3.008 states/eV per cell. The total moment comes out at 0.0 μB/f.u. The calculation puts the electronic total energy at -2.41 eV/atom. The calculated density comes out at 4.90 g/cm³.



(3)
The following is a PBE calculation of an optimized crystal structure of CrFe2SbN, from the Alexandria database.

Unit cell a=3.926 b=3.926 c=3.980 alpha=90.00 beta=90.00 gamma=90.00
Last column: magnetic moment on the atom in μB.
Positions (direct):
Sb: 0.500 0.500 0.500  0.04
N: 0.000 0.000 0.000  0.07
Fe: 0.000 0.500 0.000  1.96
Fe: 0.500 0.000 0.000  1.96
Cr: 0.000 0.000 0.500  -2.04

The uncorrected formation energy is -0.22 eV per formula unit. As for the density of states at the Fermi level: 4.450 states/eV per cell. The total moment comes out at 1.9 μB/f.u. The calculation puts the electronic total energy at -7.84 eV/atom. The calculated density comes out at 8.11 g/cm³.



(4)
The following is a PBE calculation of an optimized crystal structure of Nd2Zn5Ni4, from the Alexandria database.

Unit cell a=5.213 b=5.245 c=8.232 alpha=80.95 beta=71.54 gamma=60.20
Positions (direct):
Nd: 0.858 0.000 0.284
Nd: 0.142 0.000 0.716
Zn: 0.500 0.000 0.000
Zn: 0.000 0.500 0.000
Zn: 0.500 0.500 0.000
Zn: 0.250 0.500 0.500
Zn: 0.750 0.500 0.500
Ni: 0.473 0.310 0.743
Ni: 0.527 0.690 0.257
Ni: 0.217 0.310 0.257
Ni: 0.783 0.690 0.743

The formation energy comes out at -320 meV per atom. As for the density of states at the Fermi level: 5.891 states/eV per cell. The total moment comes out at 0.0 μB/f.u. The calculation puts the electronic total energy at -3.87 eV/atom. The calculated density comes out at 7.62 g/cm³.



(5)
The following is a PBE calculation of an optimized crystal structure of PaNi3B, from the Alexandria database.

Unit cell a=4.046 b=4.046 c=4.046 alpha=90.00 beta=90.00 gamma=90.00
Positions (direct):
Ni: 0.000 0.500 0.000
Ni: 0.000 0.000 0.500
Ni: 0.500 0.000 0.000
B: 0.000 0.000 0.000
Pa: 0.500 0.500 0.500

The relative energy among the computed polymorphs comes out at 0.079 eV per atom. The formation energy comes out at -257 meV per atom. As for the density of states at the Fermi level: 3.698 states/eV per cell. The total moment comes out at 0.0 μB/f.u. The calculation puts the electronic total energy at -6.96 eV/atom. The calculated density comes out at 10.48 g/cm³.



(6)
The following is a PBE calculation of an optimized crystal structure of ErThSn, from the Alexandria database.

Unit cell a=3.646 b=5.295 c=5.295 alpha=120.00 beta=90.00 gamma=90.00
Positions (direct):
Sn: 0.063 0.000 0.000
Th: 0.704 0.333 0.667
Er: 0.234 0.667 0.333

The relative energy among the computed polymorphs comes out at 0.291 eV per atom. The formation energy comes out at -198 meV per atom. As for the density of states at the Fermi level: 3.723 states/eV per cell. The total moment comes out at 0.0 μB/f.u. The calculation puts the electronic total energy at -5.53 eV/atom. The calculated density comes out at 9.72 g/cm³.



(7)
The following is a PBE calculation of an optimized crystal structure of ScAl2Ni2, from the Alexandria database.

Unit cell a=7.286 b=7.286 c=2.677 alpha=90.00 beta=90.00 gamma=90.00
Last column: magnetic moment on the atom in μB.
Positions (direct):
Sc: 0.000 0.000 0.000  0.28
Sc: 0.500 0.500 0.000  0.28
Ni: 0.167 0.667 0.500  0.02
Ni: 0.667 0.833 0.500  0.01
Ni: 0.833 0.333 0.500  0.02
Ni: 0.333 0.167 0.500  0.01
Al: 0.371 0.871 0.000  0.00
Al: 0.871 0.629 0.000  0.00
Al: 0.629 0.129 0.000  0.00
Al: 0.129 0.371 0.000  0.00

The relative energy among the computed polymorphs comes out at 0.033 eV per atom. The formation energy comes out at -503 meV per atom. As for the density of states at the Fermi level: 6.013 states/eV per cell. The total moment comes out at 0.3 μB/f.u. The calculation puts the electronic total energy at -5.58 eV/atom. The calculated density comes out at 5.05 g/cm³.



(8)
The following is a PBE calculation of an optimized crystal structure of Cs3TmU2Te6, from the Alexandria database.

Unit cell a=7.879 b=7.879 c=9.344 alpha=98.08 beta=98.08 gamma=120.00
Last column: magnetic moment on the atom in μB.
Positions (direct):
Cs: 0.168 0.832 0.500  0.00
Cs: 0.832 0.168 0.500  0.00
Cs: 0.500 0.500 0.500  0.00
Tm: 0.000 0.000 0.000  0.07
U: 0.333 0.667 0.000  2.78
U: 0.667 0.333 0.000  2.78
Te: 0.936 0.609 0.809  -0.04
Te: 0.736 0.736 0.191  -0.04
Te: 0.064 0.391 0.191  -0.04
Te: 0.609 0.936 0.809  -0.04
Te: 0.264 0.264 0.809  -0.04
Te: 0.391 0.064 0.191  -0.04

The uncorrected formation energy is -11.99 eV per formula unit. As for the density of states at the Fermi level: 14.489 states/eV per cell. The total moment comes out at 6.0 μB/f.u. The calculation puts the electronic total energy at -5.04 eV/atom. The calculated density comes out at 6.23 g/cm³.



(9)
The following is a PBE calculation of an optimized crystal structure of Ac2GaPt6Rh, from the Alexandria database.

Unit cell a=5.635 b=8.850 c=8.851 alpha=37.13 beta=71.42 gamma=89.99
Positions (direct):
Ac: 0.703 0.297 0.594
Ac: 0.297 0.703 0.406
Ga: 0.500 0.500 0.000
Pt: 0.253 0.245 0.493
Pt: 0.755 0.747 0.991
Pt: 0.253 0.747 0.991
Pt: 0.747 0.253 0.009
Pt: 0.245 0.253 0.009
Pt: 0.747 0.755 0.507
Rh: 0.000 0.000 0.000

The formation energy comes out at -664 meV per atom. As for the density of states at the Fermi level: 6.162 states/eV per cell. The total moment comes out at 0.0 μB/f.u. The calculation puts the electronic total energy at -6.15 eV/atom. The calculated density comes out at 13.19 g/cm³.



(10)
The following is a PBE calculation of an optimized crystal structure of TlIn2Re, from the Alexandria database.

Unit cell a=5.040 b=3.101 c=5.747 alpha=74.01 beta=90.00 gamma=90.00
Positions (direct):
In: 0.000 0.048 0.031
In: 0.500 0.437 0.251
Re: 0.000 0.316 0.498
Tl: 0.500 0.699 0.721

The relative energy among the computed polymorphs comes out at 0.257 eV per atom. The formation energy comes out at 710 meV per atom. As for the density of states at the Fermi level: 2.029 states/eV per cell. The total moment comes out at 0.0 μB/f.u. The calculation puts the electronic total energy at -4.36 eV/atom. The calculated density comes out at 11.93 g/cm³.



(11)
The following is a PBE calculation of an optimized crystal structure of ZnHAu3, from the Alexandria database.

Unit cell a=4.188 b=4.188 c=4.188 alpha=90.00 beta=90.00 gamma=90.00
Positions (direct):
H: 0.000 0.000 0.000
Zn: 0.500 0.500 0.500
Au: 0.000 0.500 0.000
Au: 0.000 0.000 0.500
Au: 0.500 0.000 0.000

The relative energy among the computed polymorphs comes out at 0.000 eV per atom. As for the density of states at the Fermi level: 1.326 states/eV per cell. The total moment comes out at 0.0 μB/f.u. The calculation puts the electronic total energy at -2.72 eV/atom. The calculated density comes out at 14.86 g/cm³.



(12)
The following is a PBE calculation of an optimized crystal structure of TaRe, from the Alexandria database.

Unit cell a=4.158 b=5.118 c=4.158 alpha=90.00 beta=120.00 gamma=90.00
Positions (direct):
Re: 0.000 0.000 0.000
Re: 0.000 0.500 0.000
Ta: 0.667 0.250 0.333
Ta: 0.333 0.750 0.667

The formation energy comes out at 415 meV per atom. As for the density of states at the Fermi level: 3.091 states/eV per cell. The total moment comes out at 0.0 μB/f.u. The calculation puts the electronic total energy at -11.74 eV/atom. The calculated density comes out at 15.91 g/cm³.